No. 1
Entry from the Alexandria database: a relaxed Cs2YAlSe4 crystal (PBE).

abc: 6.4570 8.2132 13.7096
angles: 84.69 76.38 66.85
Closest atoms and distances in Å follow each position.
Element x y z (fractional)
Cs 0.1794 0.0000 0.6413  8 Se 3.85-4.18
Cs 0.8206 0.0000 0.3587  8 Se 3.85-4.18
Cs 0.5706 0.5000 0.8587  8 Se 3.85-4.18
Cs 0.9294 0.5000 0.1413  8 Se 3.85-4.18
Y 0.7500 0.5000 0.5000  4 Se 2.70
Y 0.0000 0.0000 0.0000  4 Se 2.70
Al 0.2500 0.5000 0.5000  4 Se 2.44
Al 0.5000 0.0000 0.0000  4 Se 2.44
Se 0.3265 0.8084 0.1034  1 Al 2.44, 1 Y 2.70
Se 0.2382 0.1916 0.8966  1 Al 2.44, 1 Y 2.70
Se 0.8651 0.8084 0.8966  1 Al 2.44, 1 Y 2.70
Se 0.5701 0.1916 0.1034  1 Al 2.44, 1 Y 2.70
Se 0.4235 0.6916 0.3966  1 Al 2.44, 1 Y 2.70
Se 0.5118 0.3084 0.6034  1 Al 2.44, 1 Y 2.70
Se 0.8849 0.6916 0.6034  1 Al 2.44, 1 Y 2.70
Se 0.1799 0.3084 0.3966  1 Al 2.44, 1 Y 2.70

ΔE_f (raw)   -1353 meV/atom
Total moment   0.000 μB per formula unit

No. 2
Entry from the Alexandria database: a relaxed ZrCu2Ni crystal (PBE).

abc: 4.4999 4.4999 4.0653
angles: 63.11 63.11 53.62
Closest atoms and distances in Å follow each position.
Element x y z (fractional)
Cu 0.0002 0.0002 0.0002  4 Cu 2.67, 4 Zr 2.67, 4 Ni 2.87
Cu 0.7501 0.7501 0.7500  4 Ni 2.67, 4 Cu 2.67, 4 Zr 2.87
Ni 0.4998 0.4998 0.4997  8 Cu 2.67-2.87, 4 Zr 2.67
Zr 0.2499 0.2499 0.2501  4 Ni 2.67, 8 Cu 2.67-2.87

Formation enthalpy at 0 K   -63 kJ/mol of formula units
Total moment   0.000 μB per formula unit